# 1
Entry from OQMD: an optimized crystal structure of YSi2AgAu (PBE).

CIF file:
```
data_YSi2AgAu
_chemical_formula_sum 'Y1 Si2 Ag1 Au1'
_cell_length_a 6.037
_cell_length_b 6.037
_cell_length_c 6.037
_cell_angle_alpha 139.37
_cell_angle_beta 139.37
_cell_angle_gamma 58.81
_space_group_name_H-M_alt 'P 1'
_space_group_IT_number 1
loop_
_space_group_symop_operation_xyz
'x,y,z'
loop_
_atom_site_label
_atom_site_type_symbol
_atom_site_fract_x
_atom_site_fract_y
_atom_site_fract_z
Si1 Si 0.859 0.359 0.500
Si2 Si 0.641 0.141 0.500
Au1 Au 0.500 0.500 0.000
Ag1 Ag 0.000 0.000 0.000
Y1 Y 0.250 0.750 0.500
```

---

# 2
Entry from OQMD: an optimized crystal structure of ZnSiAgAu (PBE).

CIF file:
```
data_ZnSiAgAu
_chemical_formula_sum 'Zn1 Si1 Ag1 Au1'
_cell_length_a 4.560
_cell_length_b 4.560
_cell_length_c 4.560
_cell_angle_alpha 60.00
_cell_angle_beta 60.00
_cell_angle_gamma 60.00
_space_group_name_H-M_alt 'P 1'
_space_group_IT_number 1
loop_
_space_group_symop_operation_xyz
'x,y,z'
loop_
_atom_site_label
_atom_site_type_symbol
_atom_site_fract_x
_atom_site_fract_y
_atom_site_fract_z
Zn1 Zn 0.000 0.000 0.000
Si1 Si 0.500 0.500 0.500
Ag1 Ag 0.250 0.250 0.250
Au1 Au 0.750 0.750 0.750
```

## Properties
The polymorph energy (0 for the lowest one) comes out at 0.0 meV per atom.

---

# 3
Entry from OQMD: an optimized crystal structure of ZnSiAgAu (PBE).

CIF file:
```
data_ZnSiAgAu
_chemical_formula_sum 'Zn1 Si1 Ag1 Au1'
_cell_length_a 4.586
_cell_length_b 4.586
_cell_length_c 4.586
_cell_angle_alpha 60.00
_cell_angle_beta 60.00
_cell_angle_gamma 60.00
_space_group_name_H-M_alt 'P 1'
_space_group_IT_number 1
loop_
_space_group_symop_operation_xyz
'x,y,z'
loop_
_atom_site_label
_atom_site_type_symbol
_atom_site_fract_x
_atom_site_fract_y
_atom_site_fract_z
Zn1 Zn 0.250 0.250 0.250
Ag1 Ag 0.000 0.000 0.000
Au1 Au 0.750 0.750 0.750
Si1 Si 0.500 0.500 0.500
```

## Properties
The polymorph energy (0 for the lowest one) comes out at 57.4 meV per atom.

---

Calculated values (eV/atom) of energy for the records, taken in order: -5.1749 -3.0454 -2.9881.
Calculated values (g/cm³) of calculated density for the records, taken in order: 8.09 9.87 9.70.